## Rb3PtPb (PBE-GGA)

Data for crystalline Rb3PtPb at its relaxed geometry.

* excess energy over the best structure of this formula in the dataset: 0.000 eV/atom
* ΔE_f: 233 meV/atom
* D(E_F): 0.0000 states/eV/atom
* space group: Pm-3m, No. 221
* uncorrected energy: -2.2978 eV/atom

Unit cell a=6.433 b=6.433 c=6.433 alpha=90.00 beta=90.00 gamma=90.00
Element x y z (fractional)
Rb: 0.000 0.000 0.500
Rb: 0.000 0.500 0.000
Rb: 0.500 0.000 0.000
Pt: 0.000 0.000 0.000
Pb: 0.500 0.500 0.500